No. 1
First-principles (PBE-GGA) data for a relaxed structure of UVC, as listed in Alexandria via LeMat-Bulk.

Lattice parameters (Å, degrees): 5.1326 5.1326 5.1326 147.75 147.75 46.25
Element x y z (fractional)
U  0.0000  0.0000  0.0000
V  0.7270  0.7270  0.0000
C  0.3019  0.3019  0.0000

Results
crystal system: tetragonal
ΔE_f: 101 meV per atom
N(E_F): 3.662 states/eV/cell



No. 2
First-principles (PBE-GGA) data for a relaxed structure of SrPdAu2, as listed in Alexandria via LeMat-Bulk.

Lattice parameters (Å, degrees): 5.7561 5.7561 5.7561 47.97 47.97 47.97
Element x y z (fractional)
Sr  0.0000  0.0000  0.0000
Pd  0.5000  0.5000  0.5000
Au  0.2048  0.2048  0.2048
Au  0.7952  0.7952  0.7952

Results
crystal system: trigonal
ΔE_f: -524 meV per atom
N(E_F): 2.506 states/eV/cell



No. 3
First-principles (PBE-GGA) data for a relaxed structure of YCuS2, as listed in Alexandria via LeMat-Bulk.

Lattice parameters (Å, degrees): 7.4567 7.4567 7.4567 32.00 32.00 32.00
Element x y z (fractional)
Y  0.0000  0.0000  0.0000
Cu  0.5000  0.5000  0.5000
S  0.3995  0.3995  0.3995
S  0.6005  0.6005  0.6005

Results
energy relative to the elements, uncorrected: -1.32 eV/atom
crystal system: trigonal
N(E_F): 0.000 states/eV/cell



No. 4
First-principles (PBE-GGA) data for a relaxed structure of MgReIr, as listed in Alexandria via LeMat-Bulk.

Lattice parameters (Å, degrees): 6.1382 6.1382 4.0388 90.00 90.00 141.29
Element x y z (fractional)
Mg  0.2481  0.7519  0.7500
Mg  0.7519  0.2481  0.2500
Re  0.4358  0.5642  0.2500
Re  0.5642  0.4358  0.7500
Ir  0.0780  0.9220  0.2500
Ir  0.9220  0.0780  0.7500

Results
crystal system: orthorhombic
ΔE_f: -109 meV per atom
N(E_F): 3.329 states/eV/cell



No. 5
First-principles (PBE-GGA) data for a relaxed structure of HPb2Au, as listed in Alexandria via LeMat-Bulk.

Lattice parameters (Å, degrees): 7.8441 7.8441 7.8441 139.44 139.44 58.70
Element x y z (fractional)
H  0.0000  0.0000  0.0000
H  0.7500  0.2500  0.5000
Pb  0.0402  0.6250  0.9152
Pb  0.3750  0.2902  0.4152
Pb  0.7098  0.1250  0.0848
Pb  0.8750  0.9598  0.5848
Au  0.2500  0.7500  0.5000
Au  0.5000  0.5000  0.0000

Results
crystal system: tetragonal
N(E_F): 2.550 states/eV/cell



No. 6
First-principles (PBE-GGA) data for a relaxed structure of PmPr5Tm2Th, as listed in Alexandria via LeMat-Bulk.

Lattice parameters (Å, degrees): 10.7075 10.7075 10.6792 90.00 90.00 149.09
Element x y z (fractional)
Pm  0.0922  0.9078  0.5000
Pm  0.9078  0.0922  0.0000
Pr  0.0196  0.9804  0.7904
Pr  0.1157  0.8843  0.0720
Pr  0.2085  0.7915  0.7497
Pr  0.2232  0.7768  0.3599
Pr  0.4860  0.5140  0.0663
Pr  0.5140  0.4860  0.5663
Pr  0.7768  0.2232  0.8599
Pr  0.7915  0.2085  0.2497
Pr  0.8843  0.1157  0.5720
Pr  0.9804  0.0196  0.2904
Tm  0.3841  0.6159  0.3577
Tm  0.3877  0.6123  0.7864
Tm  0.6123  0.3877  0.2864
Tm  0.6159  0.3841  0.8577
Th  0.3013  0.6987  0.0586
Th  0.6987  0.3013  0.5586

Results
crystal system: orthorhombic
ΔE_f: 161 meV per atom
N(E_F): 27.581 states/eV/cell



No. 7
First-principles (PBE-GGA) data for a relaxed structure of TeBrCl2, as listed in Alexandria via LeMat-Bulk.

Lattice parameters (Å, degrees): 3.8807 3.8807 10.1666 90.00 90.00 124.06
Element x y z (fractional)
Te  0.0000  0.0000  0.0000
Br  0.0000  0.0000  0.5000
Cl  0.5000  0.5000  0.1861
Cl  0.5000  0.5000  0.8139

Results
energy relative to the elements, uncorrected: -0.05 eV/atom
crystal system: orthorhombic
N(E_F): 1.802 states/eV/cell



No. 8
First-principles (PBE-GGA) data for a relaxed structure of K2ZnCo, as listed in Alexandria via LeMat-Bulk.

Lattice parameters (Å, degrees): 3.9784 4.2223 8.1072 90.00 90.20 90.00
Element x y z (fractional)
K  0.0016  0.0000  0.2373
K  0.9984  0.0000  0.7627
Zn  0.5000  0.5000  0.5000
Co  0.5000  0.5000  0.0000

Results
crystal system: monoclinic
ΔE_f: 802 meV per atom
N(E_F): 2.130 states/eV/cell



No. 9
First-principles (PBE-GGA) data for a relaxed structure of Ti6Tc5Sn, as listed in Alexandria via LeMat-Bulk.

Lattice parameters (Å, degrees): 7.6690 7.6690 7.6690 146.51 130.73 60.88
Element x y z (fractional)
Ti  0.0647  0.3260  0.7386
Ti  0.2255  0.0000  0.2255
Ti  0.4126  0.6740  0.7386
Ti  0.5874  0.3260  0.2614
Ti  0.7745  0.0000  0.7745
Ti  0.9353  0.6740  0.2614
Tc  0.0000  0.5000  0.5000
Tc  0.1684  0.1684  0.0000
Tc  0.3389  0.8389  0.5000
Tc  0.6611  0.1611  0.5000
Tc  0.8316  0.8316  0.0000
Sn  0.5000  0.5000  0.0000

Results
crystal system: orthorhombic
ΔE_f: -496 meV per atom
N(E_F): 7.616 states/eV/cell



No. 10
First-principles (PBE-GGA) data for a relaxed structure of Sr8Ca5Ac, as listed in Alexandria via LeMat-Bulk.

Lattice parameters (Å, degrees): 9.7780 9.7780 9.7780 110.66 110.66 107.11
Element x y z (fractional)
Sr  0.1044  0.6889  0.7809
Sr  0.1662  0.2721  0.7669
Sr  0.3111  0.0920  0.4155
Sr  0.5051  0.3993  0.2331
Sr  0.6007  0.8338  0.1058
Sr  0.6766  0.8956  0.5845
Sr  0.7279  0.4949  0.8942
Sr  0.9080  0.3234  0.2191
Ca  0.0000  0.0000  0.0000
Ca  0.2196  0.6355  0.1867
Ca  0.3645  0.5513  0.5841
Ca  0.4487  0.0329  0.8133
Ca  0.9671  0.7804  0.4159
Ac  0.7500  0.2500  0.5000

Results
crystal system: tetragonal
ΔE_f: 195 meV per atom
N(E_F): 19.327 states/eV/cell



No. 11
First-principles (PBE-GGA) data for a relaxed structure of Dy2TlCd5, as listed in Alexandria via LeMat-Bulk.

Lattice parameters (Å, degrees): 11.4126 11.4126 10.0227 90.00 90.00 161.92
Element x y z (fractional)
Dy  0.0000  0.0000  0.0000
Dy  0.0000  0.0000  0.5000
Dy  0.1792  0.8208  0.7500
Dy  0.8208  0.1792  0.2500
Tl  0.4424  0.5576  0.2500
Tl  0.5576  0.4424  0.7500
Cd  0.2179  0.7821  0.1040
Cd  0.2179  0.7821  0.3960
Cd  0.3734  0.6266  0.0017
Cd  0.3734  0.6266  0.4983
Cd  0.4278  0.5722  0.7500
Cd  0.5722  0.4278  0.2500
Cd  0.6266  0.3734  0.5017
Cd  0.6266  0.3734  0.9983
Cd  0.7821  0.2179  0.6040
Cd  0.7821  0.2179  0.8960

Results
crystal system: orthorhombic
ΔE_f: -181 meV per atom
N(E_F): 6.751 states/eV/cell



No. 12
First-principles (PBE-GGA) data for a relaxed structure of CoTe2Se, as listed in Alexandria via LeMat-Bulk.

Lattice parameters (Å, degrees): 5.2002 3.6287 5.2952 90.00 117.57 90.00
Element x y z (fractional)
Co  0.0000  0.0000  0.0000
Te  0.3838  0.5000  0.1865
Te  0.9899  0.0000  0.4981
Se  0.6662  0.5000  0.8440

Results
energy relative to the elements, uncorrected: -0.05 eV/atom
crystal system: monoclinic
N(E_F): 3.140 states/eV/cell



No. 13
First-principles (PBE-GGA) data for a relaxed structure of LiTeAs2, as listed in Alexandria via LeMat-Bulk.

Lattice parameters (Å, degrees): 7.5830 7.5830 7.5830 133.65 133.65 67.64
Element x y z (fractional)
Li  0.0000  0.0000  0.0000
Li  0.7500  0.2500  0.5000
Te  0.2500  0.7500  0.5000
Te  0.5000  0.5000  0.0000
As  0.0934  0.6250  0.9684
As  0.3750  0.3434  0.4684
As  0.6566  0.1250  0.0316
As  0.8750  0.9066  0.5316

Results
energy relative to the elements, uncorrected: 0.14 eV/atom
crystal system: tetragonal
N(E_F): 9.394 states/eV/cell



No. 14
First-principles (PBE-GGA) data for a relaxed structure of CaSb2TeS, as listed in Alexandria via LeMat-Bulk.

Lattice parameters (Å, degrees): 5.2593 5.2593 5.3570 90.00 90.00 90.00
Element x y z (fractional)
Ca  0.0000  0.0000  0.0000
Sb  0.0000  0.5000  0.5000
Sb  0.5000  0.0000  0.5000
Te  0.5000  0.5000  0.0000
S  0.5000  0.5000  0.5000

Results
energy relative to the elements, uncorrected: -0.08 eV/atom
crystal system: tetragonal
N(E_F): 1.729 states/eV/cell



No. 15
First-principles (PBE-GGA) data for a relaxed structure of TaTc5, as listed in Alexandria via LeMat-Bulk.

Lattice parameters (Å, degrees): 5.2250 5.2250 6.6727 106.63 106.63 31.74
Element x y z (fractional)
Ta  0.0000  0.0000  0.0000
Tc  0.0399  0.0399  0.5914
Tc  0.3192  0.3192  0.6554
Tc  0.3554  0.3554  0.2712
Tc  0.6510  0.6510  0.3441
Tc  0.7223  0.7223  0.9279

Results
crystal system: monoclinic
ΔE_f: 14 meV per atom
N(E_F): 5.797 states/eV/cell



No. 16
First-principles (PBE-GGA) data for a relaxed structure of HgBSe2N, as listed in Alexandria via LeMat-Bulk.

Lattice parameters (Å, degrees): 7.1096 7.1096 2.5968 90.00 90.00 90.00
Element x y z (fractional)
Hg  0.0000  0.0000  0.0000
B  0.5000  0.5000  0.5000
Se  0.0000  0.5000  0.5000
Se  0.5000  0.0000  0.5000
N  0.5000  0.5000  0.0000

Results
energy relative to the elements, uncorrected: 0.07 eV/atom
crystal system: tetragonal
N(E_F): 2.797 states/eV/cell



No. 17
First-principles (PBE-GGA) data for a relaxed structure of Ac2Ge4BiPd3, as listed in Alexandria via LeMat-Bulk.

Lattice parameters (Å, degrees): 4.5800 4.5800 10.7267 90.00 90.00 90.00
Element x y z (fractional)
Ac  0.0000  0.5000  0.2305
Ac  0.5000  0.0000  0.7695
Ge  0.0000  0.0000  0.0000
Ge  0.0000  0.5000  0.6556
Ge  0.5000  0.0000  0.3444
Ge  0.5000  0.5000  0.0000
Bi  0.0000  0.0000  0.5000
Pd  0.0000  0.5000  0.8867
Pd  0.5000  0.0000  0.1133
Pd  0.5000  0.5000  0.5000

Results
crystal system: tetragonal
ΔE_f: -646 meV per atom
N(E_F): 4.644 states/eV/cell



No. 18
First-principles (PBE-GGA) data for a relaxed structure of Zr2TiIn, as listed in Alexandria via LeMat-Bulk.

Lattice parameters (Å, degrees): 4.3910 4.3910 4.3525 90.00 90.00 90.00
Element x y z (fractional)
Zr  0.0000  0.5000  0.0000
Zr  0.5000  0.0000  0.0000
Ti  0.0000  0.0000  0.5000
In  0.5000  0.5000  0.5000

Results
crystal system: tetragonal
ΔE_f: -184 meV per atom
N(E_F): 3.930 states/eV/cell



No. 19
First-principles (PBE-GGA) data for a relaxed structure of InHgP2O8, as listed in Alexandria via LeMat-Bulk.

Lattice parameters (Å, degrees): 7.7747 7.7747 7.7747 36.51 36.51 36.51
Element x y z (fractional)
In  0.0000  0.0000  0.0000
Hg  0.5000  0.5000  0.5000
P  0.2505  0.2505  0.2505
P  0.7495  0.7495  0.7495
O  0.0323  0.4273  0.7233
O  0.1785  0.1785  0.1785
O  0.2767  0.9677  0.5727
O  0.4273  0.7233  0.0323
O  0.5727  0.2767  0.9677
O  0.7233  0.0323  0.4273
O  0.8215  0.8215  0.8215
O  0.9677  0.5727  0.2767

Results
energy relative to the elements, uncorrected: -1.52 eV/atom
crystal system: trigonal
N(E_F): 10.260 states/eV/cell



No. 20
First-principles (PBE-GGA) data for a relaxed structure of LiTcIr2, as listed in Alexandria via LeMat-Bulk.

Lattice parameters (Å, degrees): 4.7620 4.7620 4.7620 133.95 133.95 67.16
Element x y z (fractional)
Li  0.0000  0.0000  0.0000
Tc  0.2500  0.7500  0.5000
Ir  0.5000  0.5000  0.0000
Ir  0.7500  0.2500  0.5000

Results
crystal system: tetragonal
ΔE_f: 3 meV per atom
N(E_F): 3.273 states/eV/cell



Number 1: calculated total energy -9.776 eV per atom. Number 2: calculated total energy -3.881 eV per atom. Number 3: calculated total energy -6.022 eV per atom. Number 4: calculated total energy -7.743 eV per atom. Number 5: calculated total energy -3.209 eV per atom. Number 6: calculated total energy -4.840 eV per atom. Number 7: calculated total energy -2.175 eV per atom. Number 8: calculated total energy -1.841 eV per atom. Number 9: calculated total energy -9.096 eV per atom. Number 10: calculated total energy -1.775 eV per atom. Number 11: calculated total energy -2.200 eV per atom. Number 12: calculated total energy -4.268 eV per atom. Number 13: calculated total energy -3.449 eV per atom. Number 14: calculated total energy -3.586 eV per atom. Number 15: calculated total energy -10.600 eV per atom. Number 16: calculated total energy -4.382 eV per atom. Number 17: calculated total energy -5.261 eV per atom. Number 18: calculated total energy -7.116 eV per atom. Number 19: calculated total energy -5.976 eV per atom. Number 20: calculated total energy -7.498 eV per atom.